A plane-wave DFT calculation with PBEsol was carried out for crystalline Na2CrAs2 at its relaxed geometry.

Unit cell a=3.858 b=3.858 c=7.227 alpha=105.48 beta=105.48 gamma=90.00
Sites, in units of the cell vectors:
Cr  0.000  0.000  0.000
As  0.411  0.411  0.822
As  0.589  0.589  0.178
Na  0.250  0.750  0.500
Na  0.750  0.250  0.500

Computed properties:
Total moment in μB/f.u.: 3.57
E_tot in eV/atom: -4.3554
Space group: I4/mmm, No. 139
Calculated volume in Å³ per atom: 19.92
ΔE to the lowest computed polymorph in eV/atom: 0.477